VASP calculation (PBE) on a geometry-optimized Pr4Te2AsPb structure.

Calculated values
Total moment ... 0.000 μB/cell
Space group ... P2/m, No. 10
Formation energy (no corrections) ... -1280 meV per atom
Electronic total energy ... -0.20212 Ha/atom

Unit cell a=4.4942 b=7.8389 c=7.7925 alpha=70.71 beta=90.00 gamma=90.00
Element x y z (fractional)
Pr1 0.0000 0.7374 0.7455
Pr2 0.0000 0.2626 0.2545
Pr3 0.5000 0.7291 0.2655
Pr4 0.5000 0.2709 0.7345
Te1 0.0000 0.0000 0.0000
Te2 0.5000 0.0000 0.5000
As1 0.0000 0.5000 0.5000
Pb1 0.5000 0.5000 0.0000

VASP calculation (PBE) on a geometry-optimized Tl4HgAu4 structure.

Calculated values
Formation energy from the elements ... 0.002 eV per atom
Total moment ... 0.000 μB/cell
Space group ... P4_2/n, No. 86
Electronic total energy ... -0.09333 Ha/atom

Unit cell a=8.2265 b=7.6819 c=7.6819 alpha=90.00 beta=90.00 gamma=90.00
Element x y z (fractional)
Tl1 0.3811 0.2745 0.9314
Tl2 0.8811 0.5686 0.7745
Tl3 0.3811 0.7255 0.0686
Tl4 0.1189 0.2255 0.5686
Tl5 0.6189 0.9314 0.7255
Tl6 0.1189 0.7745 0.4314
Tl7 0.8811 0.4314 0.2255
Tl8 0.6189 0.0686 0.2745
Hg1 0.0000 0.0000 0.0000
Hg2 0.5000 0.5000 0.5000
Au1 0.7639 0.7387 0.4353
Au2 0.7639 0.2613 0.5647
Au3 0.2639 0.9353 0.7613
Au4 0.7361 0.2387 0.9353
Au5 0.7361 0.7613 0.0647
Au6 0.2361 0.4353 0.2613
Au7 0.2361 0.5647 0.7387
Au8 0.2639 0.0647 0.2387

What did the first record say?
VASP calculation (PBE) on a geometry-optimized Pr4Te2AsPb structure.

Calculated values
Total moment ... 0.000 μB/cell
Space group ... P2/m, No. 10
Formation energy (no corrections) ... -1280 meV per atom
Electronic total energy ... -0.20212 Ha/atom

Unit cell a=4.4942 b=7.8389 c=7.7925 alpha=70.71 beta=90.00 gamma=90.00
Element x y z (fractional)
Pr1 0.0000 0.7374 0.7455
Pr2 0.0000 0.2626 0.2545
Pr3 0.5000 0.7291 0.2655
Pr4 0.5000 0.2709 0.7345
Te1 0.0000 0.0000 0.0000
Te2 0.5000 0.0000 0.5000
As1 0.0000 0.5000 0.5000
Pb1 0.5000 0.5000 0.0000

Repeat the second record exactly.
VASP calculation (PBE) on a geometry-optimized Tl4HgAu4 structure.

Calculated values
Formation energy from the elements ... 0.002 eV per atom
Total moment ... 0.000 μB/cell
Space group ... P4_2/n, No. 86
Electronic total energy ... -0.09333 Ha/atom

Unit cell a=8.2265 b=7.6819 c=7.6819 alpha=90.00 beta=90.00 gamma=90.00
Element x y z (fractional)
Tl1 0.3811 0.2745 0.9314
Tl2 0.8811 0.5686 0.7745
Tl3 0.3811 0.7255 0.0686
Tl4 0.1189 0.2255 0.5686
Tl5 0.6189 0.9314 0.7255
Tl6 0.1189 0.7745 0.4314
Tl7 0.8811 0.4314 0.2255
Tl8 0.6189 0.0686 0.2745
Hg1 0.0000 0.0000 0.0000
Hg2 0.5000 0.5000 0.5000
Au1 0.7639 0.7387 0.4353
Au2 0.7639 0.2613 0.5647
Au3 0.2639 0.9353 0.7613
Au4 0.7361 0.2387 0.9353
Au5 0.7361 0.7613 0.0647
Au6 0.2361 0.4353 0.2613
Au7 0.2361 0.5647 0.7387
Au8 0.2639 0.0647 0.2387

Question: What is the total moment in the second record?
Answer: 0.000 μB/cell